(1)
{"formula": "EuMgPd2", "functional": "PBE", "state": "optimized geometry", "lattice_angstrom": [[3.3938, 0.0000, 0.0000], [0.0000, 4.8690, 0.0000], [0.0000, 0.0000, 4.8690]], "species": ["Eu", "Pd", "Pd", "Mg"], "fractional_positions": [[0.5000, 0.5000, 0.5000], [0.0000, 0.0000, 0.5000], [0.0000, 0.5000, 0.0000], [0.5000, 0.0000, 0.0000]], "final_energy_ev_per_atom": -6.145, "formation_energy_ev_per_atom": -0.58}


(2)
{"formula": "K2SbSe", "functional": "PBE", "state": "optimized geometry", "lattice_angstrom": [[-1.6589, 2.9511, -0.7730], [-2.4826, -0.7912, 2.2955], [5.1775, 4.8117, 7.2579]], "species": ["Sb", "K", "K", "Se"], "fractional_positions": [[0.5000, 0.5000, 0.2500], [0.0000, 0.0000, 0.5317], [0.0000, 0.0000, 0.9683], [0.5000, 0.5000, 0.7500]], "final_energy_ev_per_atom": -2.953, "e_form_raw_ev_per_atom": -0.502, "relative_energy_kcal_per_mol_atoms": 0.339}


(3)
{"formula": "BaLa3", "functional": "PBE", "state": "optimized geometry", "lattice_angstrom": [[3.8917, 0.0000, 0.0000], [-1.9458, 3.3703, 0.0000], [0.0000, 0.0000, 12.7181]], "species": ["La", "La", "La", "Ba"], "fractional_positions": [[0.6667, 0.3333, 0.2682], [0.6667, 0.3333, 0.7318], [0.0000, 0.0000, 0.5000], [0.0000, 0.0000, 0.0000]], "final_energy_ev_per_atom": -4.060, "formation_energy_ev_per_atom": 0.12, "relative_energy_kcal_per_mol_atoms": 0.744}


(4)
{"formula": "HoCd4Hg", "functional": "PBE", "state": "optimized geometry", "lattice_angstrom": [[-1.7768, -1.6970, -4.3782], [4.8325, -0.6779, 1.1802], [-1.4758, -5.6591, 2.7924]], "species": ["Cd", "Cd", "Cd", "Cd", "Hg", "Ho"], "fractional_positions": [[0.3333, 0.6667, 0.7435], [0.6667, 0.3333, 0.2565], [0.6667, 0.3333, 0.7435], [0.3333, 0.6667, 0.2565], [0.0000, 0.0000, 0.0000], [0.0000, 0.0000, 0.5000]], "final_energy_ev_per_atom": -1.601, "formation_energy_ev_per_atom": -0.18, "relative_energy_kcal_per_mol_atoms": 0.000}


(5)
{"formula": "Li2CaSnAu4", "functional": "PBE", "state": "optimized geometry", "lattice_angstrom": [[4.6962, 0.0000, 0.0000], [2.3481, 4.0670, 0.0000], [2.3481, 1.3557, 8.3184]], "species": ["Au", "Au", "Au", "Au", "Ca", "Sn", "Li", "Li"], "fractional_positions": [[0.8765, 0.8765, 0.3705], [0.3864, 0.3864, 0.8407], [0.1235, 0.1235, 0.6295], [0.6136, 0.6136, 0.1593], [0.0000, 0.0000, 0.0000], [0.5000, 0.5000, 0.5000], [0.2453, 0.2453, 0.2641], [0.7547, 0.7547, 0.7359]], "final_energy_ev_per_atom": -3.375, "formation_energy_ev_per_atom": -0.51}


(6)
{"formula": "Li3SiS", "functional": "PBE", "state": "optimized geometry", "lattice_angstrom": [[-4.3615, 0.1404, -1.2187], [-1.2181, -1.0309, 4.2405], [-0.1459, 4.4097, 1.0301]], "species": ["S", "Li", "Li", "Li", "Si"], "fractional_positions": [[0.0000, 0.0000, 0.0000], [0.0000, 0.0000, 0.5000], [0.5000, 0.0000, 0.0000], [0.0000, 0.5000, 0.0000], [0.5000, 0.5000, 0.5000]], "final_energy_ev_per_atom": -3.355, "e_form_raw_ev_per_atom": -0.296, "relative_energy_kcal_per_mol_atoms": 0.000}


(7)
{"formula": "VAgSb", "functional": "PBE", "state": "optimized geometry", "lattice_angstrom": [[8.6988, 0.0000, -0.0181], [0.0000, 3.3752, 0.0000], [-3.4963, 0.0000, 7.9693]], "species": ["V", "V", "V", "V", "Sb", "Sb", "Sb", "Sb", "Ag", "Ag", "Ag", "Ag"], "fractional_positions": [[0.9450, 0.5000, 0.8285], [0.9450, 0.0000, 0.3285], [0.0550, 0.5000, 0.1715], [0.0550, 0.0000, 0.6715], [0.2095, 0.0000, 0.0165], [0.2095, 0.5000, 0.5165], [0.7905, 0.5000, 0.4835], [0.7905, 0.0000, 0.9835], [0.4154, 0.5000, 0.3259], [0.5846, 0.5000, 0.6741], [0.4154, 0.0000, 0.8259], [0.5846, 0.0000, 0.1741]], "final_energy_ev_per_atom": -5.268, "e_form_raw_ev_per_atom": 0.096, "relative_energy_kcal_per_mol_atoms": 1.965}


(8)
{"formula": "La2ZnOs", "functional": "PBE", "state": "optimized geometry", "lattice_angstrom": [[-2.6749, 0.9764, 5.7075], [-4.8379, -1.2224, 3.9729], [1.0438, -3.5736, 3.2284]], "species": ["Os", "Zn", "La", "La"], "fractional_positions": [[0.5193, 0.5193, 0.4807], [0.1909, 0.1909, 0.3092], [0.9929, 0.9929, 0.0069], [0.7969, 0.7969, 0.7032]], "final_energy_ev_per_atom": -5.652, "formation_energy_ev_per_atom": -0.06}


(9)
{"formula": "SmThZnGa", "functional": "PBE", "state": "optimized geometry", "lattice_angstrom": [[5.1841, 0.0000, 0.0000], [2.5921, 4.4896, 0.0000], [2.5921, 1.4965, 4.2328]], "species": ["Sm", "Th", "Zn", "Ga"], "fractional_positions": [[0.5000, 0.5000, 0.5000], [0.0000, 0.0000, 0.0000], [0.7500, 0.7500, 0.7500], [0.2500, 0.2500, 0.2500]], "final_energy_ev_per_atom": -4.482, "formation_energy_ev_per_atom": -0.37}


(10)
{"formula": "AlSiHO4", "functional": "PBE", "state": "optimized geometry", "lattice_angstrom": [[-0.7352, 4.1752, -1.2866], [-1.2405, -2.2579, -6.6185], [-7.9273, -2.6345, -4.0196]], "species": ["Si", "Si", "Si", "Si", "O", "O", "O", "O", "O", "O", "O", "O", "O", "O", "O", "O", "O", "O", "O", "O", "Al", "Al", "Al", "Al", "H", "H", "H", "H"], "fractional_positions": [[0.0295, 0.9099, 0.6795], [0.4705, 0.9099, 0.1795], [0.5295, 0.0901, 0.8205], [0.9705, 0.0901, 0.3205], [0.8073, 0.3614, 0.1251], [0.1976, 0.1065, 0.1530], [0.8020, 0.6274, 0.2425], [0.6976, 0.8935, 0.3470], [0.6980, 0.6274, 0.7425], [0.3024, 0.1065, 0.6530], [0.3020, 0.3726, 0.2575], [0.1980, 0.3726, 0.7575], [0.8024, 0.8935, 0.8470], [0.1868, 0.8739, 0.5199], [0.3132, 0.8739, 0.0199], [0.6927, 0.3614, 0.6251], [0.6868, 0.1261, 0.9801], [0.8132, 0.1261, 0.4801], [0.1927, 0.6386, 0.8749], [0.3073, 0.6386, 0.3749], [0.5322, 0.3620, 0.4339], [0.0322, 0.6380, 0.0661], [0.9678, 0.3620, 0.9339], [0.4678, 0.6380, 0.5661], [0.0302, 0.3642, 0.6868], [0.5302, 0.6358, 0.8132], [0.9698, 0.6358, 0.3132], [0.4698, 0.3642, 0.1868]], "final_energy_ev_per_atom": -7.058}


(11)
{"formula": "Mg3BiPd4", "functional": "PBE", "state": "optimized geometry", "lattice_angstrom": [[4.4087, 0.0000, 1.3014], [2.0123, 3.9227, 1.3014], [0.0039, 0.0024, 8.1053]], "species": ["Mg", "Mg", "Mg", "Pd", "Pd", "Pd", "Pd", "Bi"], "fractional_positions": [[0.2463, 0.2463, 0.2610], [0.7537, 0.7537, 0.7390], [0.5000, 0.5000, 0.5000], [0.1282, 0.1282, 0.6155], [0.6189, 0.6189, 0.1434], [0.3811, 0.3811, 0.8566], [0.8718, 0.8718, 0.3845], [0.0000, 0.0000, 0.0000]], "final_energy_ev_per_atom": -4.285, "formation_energy_ev_per_atom": -0.61}


(12)
{"formula": "Li2GeMo", "functional": "PBE", "state": "optimized geometry", "lattice_angstrom": [[-3.5027, 5.7223, 1.9183], [-0.0747, -2.2590, 6.6019], [0.3883, 2.9197, 4.6913]], "species": ["Mo", "Mo", "Li", "Li", "Li", "Li", "Ge", "Ge"], "fractional_positions": [[0.0000, 0.0000, 0.0000], [0.7500, 0.2500, 0.5000], [0.8750, 0.8531, 0.7500], [0.1469, 0.6250, 0.2500], [0.6031, 0.1250, 0.2500], [0.3750, 0.3969, 0.7500], [0.5000, 0.5000, 0.0000], [0.2500, 0.7500, 0.5000]], "final_energy_ev_per_atom": -4.384, "formation_energy_ev_per_atom": 0.43}


(13)
{"formula": "TaCdCu2", "functional": "PBE", "state": "optimized geometry", "lattice_angstrom": [[-0.9067, 5.4108, 0.9425], [-2.0861, 3.3178, -3.9532], [-0.4230, -4.3544, 3.4420]], "species": ["Ta", "Cu", "Cu", "Cd"], "fractional_positions": [[0.5168, 0.5168, 0.0000], [0.7658, 0.2658, 0.5000], [0.9822, 0.9822, 0.0000], [0.2352, 0.7352, 0.5000]], "final_energy_ev_per_atom": -4.977, "formation_energy_ev_per_atom": 0.26}


(14)
{"formula": "HfMg2ScMo", "functional": "PBE", "state": "optimized geometry", "lattice_angstrom": [[5.3154, 0.0000, 0.0000], [0.0000, 4.7232, 0.0000], [0.0000, 0.0000, 5.3154]], "species": ["Sc", "Mg", "Mg", "Mo", "Hf"], "fractional_positions": [[0.5000, 0.5000, 0.5000], [0.0000, 0.0000, 0.5000], [0.5000, 0.0000, 0.0000], [0.0000, 0.5000, 0.0000], [0.0000, 0.0000, 0.0000]], "final_energy_ev_per_atom": -4.888, "formation_energy_ev_per_atom": 1.17}


(15)
{"formula": "CuAs", "functional": "PBE", "state": "optimized geometry", "lattice_angstrom": [[2.6976, 0.0000, 0.0000], [0.0000, 3.6345, 0.0000], [0.0000, 0.0000, 6.8826]], "species": ["Cu", "Cu", "As", "As"], "fractional_positions": [[0.5000, 0.5000, 0.2746], [0.0000, 0.0000, 0.4754], [0.0000, 0.0000, 0.0879], [0.5000, 0.5000, 0.6621]], "final_energy_ev_per_atom": -4.276, "formation_energy_ev_per_atom": 0.10}


(16)
{"formula": "CaNpNiS3", "functional": "PBE", "state": "optimized geometry", "lattice_angstrom": [[3.8291, 0.0000, 0.0000], [-1.9145, 6.1979, 0.0000], [0.0000, 0.0000, 10.1378]], "species": ["Ca", "Ca", "S", "S", "S", "S", "S", "S", "Np", "Np", "Ni", "Ni"], "fractional_positions": [[0.7488, 0.4977, 0.7500], [0.2512, 0.5023, 0.2500], [0.6408, 0.2816, 0.4216], [0.3592, 0.7184, 0.5784], [0.9222, 0.8443, 0.2500], [0.0778, 0.1557, 0.7500], [0.3592, 0.7184, 0.9216], [0.6408, 0.2816, 0.0784], [0.0000, 0.0000, 0.5000], [0.0000, 0.0000, 0.0000], [0.4764, 0.9528, 0.7500], [0.5236, 0.0472, 0.2500]], "final_energy_ev_per_atom": -6.900, "e_form_raw_ev_per_atom": -1.382}


(17)
{"formula": "DyIn12Hg6", "functional": "PBE", "state": "optimized geometry", "lattice_angstrom": [[8.0089, -0.3885, 0.4464], [0.4001, 8.0084, 0.4464], [-0.4287, -0.3885, 8.0099]], "species": ["In", "In", "In", "In", "In", "In", "In", "In", "In", "In", "In", "In", "Hg", "Hg", "Hg", "Hg", "Hg", "Hg", "Dy"], "fractional_positions": [[0.5493, 0.4581, 0.7807], [0.5419, 0.2193, 0.4507], [0.2819, 0.2823, 0.9821], [0.9821, 0.2819, 0.2823], [0.4507, 0.5419, 0.2193], [0.7181, 0.7177, 0.0179], [0.7177, 0.0179, 0.7181], [0.7807, 0.5493, 0.4581], [0.2823, 0.9821, 0.2819], [0.0179, 0.7181, 0.7177], [0.2193, 0.4507, 0.5419], [0.4581, 0.7807, 0.5493], [0.3625, 0.8540, 0.9129], [0.8540, 0.9129, 0.3625], [0.9129, 0.3625, 0.8540], [0.0871, 0.6375, 0.1460], [0.1460, 0.0871, 0.6375], [0.6375, 0.1460, 0.0871], [0.0000, 0.0000, 0.0000]], "final_energy_ev_per_atom": -2.102, "formation_energy_ev_per_atom": -0.03, "relative_energy_kcal_per_mol_atoms": 0.088}


(18)
{"formula": "V2CdB", "functional": "PBE", "state": "optimized geometry", "lattice_angstrom": [[5.3089, 0.0000, 0.0000], [0.0000, 5.3089, 0.0000], [2.6545, 2.6545, 5.1937]], "species": ["Cd", "Cd", "V", "V", "V", "V", "B", "B"], "fractional_positions": [[0.0000, 0.0000, 0.0000], [0.7500, 0.2500, 0.5000], [0.3750, 0.5120, 0.7500], [0.8750, 0.7380, 0.7500], [0.4880, 0.1250, 0.2500], [0.2620, 0.6250, 0.2500], [0.2500, 0.7500, 0.5000], [0.5000, 0.5000, 0.0000]], "final_energy_ev_per_atom": -5.425, "formation_energy_ev_per_atom": 1.03, "relative_energy_kcal_per_mol_atoms": 19.542}


(19)
{"formula": "Hf12Fe6Sn", "functional": "PBE", "state": "optimized geometry", "lattice_angstrom": [[-0.6808, -6.9185, 3.3893], [7.4493, 2.0740, -0.1530], [-4.0529, 5.2377, 3.9946]], "species": ["Hf", "Hf", "Hf", "Hf", "Hf", "Hf", "Hf", "Hf", "Hf", "Hf", "Hf", "Hf", "Sn", "Fe", "Fe", "Fe", "Fe", "Fe", "Fe"], "fractional_positions": [[0.4890, 0.1950, 0.2940], [0.1950, 0.7060, 0.9011], [0.0989, 0.8050, 0.2940], [0.2940, 0.0989, 0.8050], [0.5110, 0.8050, 0.7060], [0.7060, 0.5110, 0.8050], [0.9011, 0.1950, 0.7060], [0.8050, 0.2940, 0.0989], [0.7060, 0.9011, 0.1950], [0.8050, 0.7060, 0.5110], [0.2940, 0.4890, 0.1950], [0.1950, 0.2940, 0.4890], [0.0000, 0.0000, 0.0000], [0.3767, 0.5000, 0.8767], [0.5000, 0.8767, 0.3767], [0.8767, 0.3767, 0.5000], [0.1233, 0.6233, 0.5000], [0.6233, 0.5000, 0.1233], [0.5000, 0.1233, 0.6233]], "final_energy_ev_per_atom": -9.319, "formation_energy_ev_per_atom": -0.15}


(20)
{"formula": "Er2ScAl", "functional": "PBE", "state": "optimized geometry", "lattice_angstrom": [[-3.5917, -0.3081, 3.7215], [4.7738, -0.4981, 4.5660], [-2.3304, 5.9472, -1.7567]], "species": ["Er", "Er", "Er", "Er", "Al", "Al", "Sc", "Sc"], "fractional_positions": [[0.0000, 0.8224, 0.6546], [0.5000, 0.1754, 0.8246], [0.0000, 0.8271, 0.1729], [0.0000, 0.3454, 0.1776], [0.5000, 0.6658, 0.3342], [0.0000, 0.3360, 0.6640], [0.5000, 0.1768, 0.3487], [0.5000, 0.6513, 0.8232]], "final_energy_ev_per_atom": -5.005, "formation_energy_ev_per_atom": -0.21, "relative_energy_kcal_per_mol_atoms": 0.000}


In order of appearance, size of the total moment = 1.714; 0.000; 0.000; 0.000; 0.000; 0.000; 0.000; 0.000; 0.000; 0.000; 0.000; 0.000; 0.000; 0.237; 0.000; 0.500; 0.000; 0.206; 0.243; 0.000 μB per atom.